# 1
# K2CdCl PBE optimized geometry
data_K2CdCl
_chemical_formula_sum 'K8 Cd4 Cl4'
_cell_length_a 8.468
_cell_length_b 8.468
_cell_length_c 8.468
_cell_angle_alpha 90.00
_cell_angle_beta 90.00
_cell_angle_gamma 90.00
_symmetry_space_group_name_H-M 'F -4 3 m'
_symmetry_Int_Tables_number 216
_symmetry_space_group_name_Hall 'F -4 2 3'
loop_
_atom_site_label
_atom_site_type_symbol
_atom_site_fract_x
_atom_site_fract_y
_atom_site_fract_z
K1 K 0.000 0.000 0.000
K2 K 0.250 0.250 0.250
Cd1 Cd 0.250 0.250 0.750
Cl1 Cl 0.000 0.000 0.500
# Calculated density ... 2.47 Mg/m³
# ΔE to the lowest computed polymorph ... 404.7 meV/atom
# Formation energy without anion corrections ... -496.0 meV/atom

---

# 2
# KCdCl PBE optimized geometry
data_KCdCl
_chemical_formula_sum 'K1 Cd1 Cl1'
_cell_length_a 4.6356
_cell_length_b 4.6356
_cell_length_c 6.3458
_cell_angle_alpha 90.00
_cell_angle_beta 90.00
_cell_angle_gamma 120.00
_symmetry_space_group_name_H-M 'P 3 m 1'
_symmetry_Int_Tables_number 156
loop_
_symmetry_equiv_pos_as_xyz
'x,y,z'
'-y,x-y,z'
'-x+y,-x,z'
'-y,-x,z'
'-x+y,y,z'
'x,x-y,z'
loop_
_atom_site_label
_atom_site_type_symbol
_atom_site_fract_x
_atom_site_fract_y
_atom_site_fract_z
K1 K 0.0000 0.0000 0.0000
Cd1 Cd 0.6667 0.3333 0.4366
Cl1 Cl 0.3333 0.6667 0.7797
# Calculated density ... 2.63 Mg/m³
# ΔE to the lowest computed polymorph ... 45.5 meV/atom
# Formation energy without anion corrections ... -956.3 meV/atom

---

# 3
# KCdCl4 PBE optimized geometry
data_KCdCl4
_chemical_formula_sum 'K4 Cd4 Cl16'
_cell_length_a 8.764
_cell_length_b 8.764
_cell_length_c 8.764
_cell_angle_alpha 90.00
_cell_angle_beta 90.00
_cell_angle_gamma 90.00
_symmetry_space_group_name_H-M 'F -4 3 m'
_symmetry_Int_Tables_number 216
_symmetry_space_group_name_Hall 'F -4 2 3'
loop_
_atom_site_label
_atom_site_type_symbol
_atom_site_fract_x
_atom_site_fract_y
_atom_site_fract_z
K1 K 0.000 0.000 0.000
Cd1 Cd 0.250 0.250 0.750
Cl1 Cl 0.125 0.125 0.375
# Calculated density ... 2.89 Mg/m³
# ΔE to the lowest computed polymorph ... 702.3 meV/atom
# Formation energy without anion corrections ... -259.4 meV/atom

---

# 4
# KCd2Cl PBE optimized geometry
data_KCd2Cl
_chemical_formula_sum 'K4 Cd8 Cl4'
_cell_length_a 7.933
_cell_length_b 7.933
_cell_length_c 7.933
_cell_angle_alpha 90.00
_cell_angle_beta 90.00
_cell_angle_gamma 90.00
_symmetry_space_group_name_H-M 'F -4 3 m'
_symmetry_Int_Tables_number 216
_symmetry_space_group_name_Hall 'F -4 2 3'
loop_
_atom_site_label
_atom_site_type_symbol
_atom_site_fract_x
_atom_site_fract_y
_atom_site_fract_z
K1 K 0.000 0.000 0.000
Cd1 Cd 0.000 0.000 0.500
Cd2 Cd 0.250 0.250 0.750
Cl1 Cl 0.250 0.250 0.250
# Calculated density ... 3.98 Mg/m³
# ΔE to the lowest computed polymorph ... 178.4 meV/atom
# Formation energy without anion corrections ... -552.2 meV/atom

---

# 5
# K3Li3CdCl8 PBE optimized geometry
data_K3Li3CdCl8
_chemical_formula_sum 'K6 Li6 Cd2 Cl16'
_cell_length_a 13.610
_cell_length_b 7.830
_cell_length_c 8.434
_cell_angle_alpha 90.00
_cell_angle_beta 122.50
_cell_angle_gamma 90.00
_symmetry_space_group_name_H-M 'C 1 2/m 1'
_symmetry_Int_Tables_number 12
loop_
_symmetry_equiv_pos_as_xyz
'x,y,z'
'-x,-y,-z'
'-x,y,-z'
'x,-y,z'
'x+1/2,y+1/2,z'
'-x+1/2,-y+1/2,-z'
'-x+1/2,y+1/2,-z'
'x+1/2,-y+1/2,z'
loop_
_atom_site_label
_atom_site_type_symbol
_atom_site_fract_x
_atom_site_fract_y
_atom_site_fract_z
K1 K 0.000 0.000 0.000
K2 K 0.250 0.250 0.000
Li1 Li 0.000 0.500 0.500
Li2 Li 0.250 0.250 0.500
Cd1 Cd 0.000 0.000 0.500
Cl1 Cl 0.016 0.250 0.300
Cl2 Cl 0.233 0.000 0.700
Cl3 Cl 0.235 0.500 0.703
# Calculated density ... 2.34 Mg/m³
# Formation energy without anion corrections ... -1692.3 meV/atom

---

# 6
# K4LiCd3Cl12 PBE optimized geometry
data_K4LiCd3Cl12
_chemical_formula_sum 'K8 Li2 Cd6 Cl24'
_cell_length_a 10.412
_cell_length_b 10.412
_cell_length_c 10.412
_cell_angle_alpha 90.00
_cell_angle_beta 90.00
_cell_angle_gamma 90.00
_symmetry_space_group_name_H-M 'I m -3 m'
_symmetry_Int_Tables_number 229
_symmetry_space_group_name_Hall '-I 4 2 3'
loop_
_atom_site_label
_atom_site_type_symbol
_atom_site_fract_x
_atom_site_fract_y
_atom_site_fract_z
K1 K 0.250 0.250 0.250
Li1 Li 0.000 0.000 0.000
Cd1 Cd 0.000 0.000 0.500
Cl1 Cl 0.000 0.000 0.250
Cl2 Cl 0.000 0.250 0.500
# Calculated density ... 2.72 Mg/m³
# Formation energy without anion corrections ... -1387.1 meV/atom

---

# 7
# K3Mg2CdCl9 PBE optimized geometry
data_K3Mg2CdCl9
_chemical_formula_sum 'K3 Mg2 Cd1 Cl9'
_cell_length_a 7.2041
_cell_length_b 7.2041
_cell_length_c 8.8449
_cell_angle_alpha 90.00
_cell_angle_beta 90.00
_cell_angle_gamma 120.00
_symmetry_space_group_name_H-M 'P -3 m 1'
_symmetry_Int_Tables_number 164
_symmetry_space_group_name_Hall '-P 3 2"'
loop_
_atom_site_label
_atom_site_type_symbol
_atom_site_fract_x
_atom_site_fract_y
_atom_site_fract_z
K1 K 0.0000 0.0000 0.0000
K2 K 0.3333 0.6667 0.6666
Mg1 Mg 0.3333 0.6667 0.1599
Cd1 Cd 0.0000 0.0000 0.5000
Cl1 Cl 0.0000 0.5000 0.0000
Cl2 Cl 0.1707 0.3413 0.3263
# Calculated density ... 2.50 Mg/m³
# Formation energy without anion corrections ... -1724.5 meV/atom

---

# 8
# K3MgCd2Cl9 PBE optimized geometry
data_K3MgCd2Cl9
_chemical_formula_sum 'K3 Mg1 Cd2 Cl9'
_cell_length_a 7.3147
_cell_length_b 7.3147
_cell_length_c 8.9804
_cell_angle_alpha 90.00
_cell_angle_beta 90.00
_cell_angle_gamma 120.00
_symmetry_space_group_name_H-M 'P -3 m 1'
_symmetry_Int_Tables_number 164
_symmetry_space_group_name_Hall '-P 3 2"'
loop_
_atom_site_label
_atom_site_type_symbol
_atom_site_fract_x
_atom_site_fract_y
_atom_site_fract_z
K1 K 0.0000 0.0000 0.0000
K2 K 0.3333 0.6667 0.6679
Mg1 Mg 0.0000 0.0000 0.5000
Cd1 Cd 0.3333 0.6667 0.1739
Cl1 Cl 0.0000 0.5000 0.0000
Cl2 Cl 0.1621 0.3242 0.3393
# Calculated density ... 2.74 Mg/m³
# Formation energy without anion corrections ... -1564.4 meV/atom